! PBE NaTcNiP2, optimized geometry; values from VASP
! ΔH_f (0 K) = -0.532 eV/atom
! D(E_F) = 0.3678 states/eV/atom
! Symmetry = I-4m2 (119)
! Crystal system = tetragonal
! Calculated total energy = -6.19 eV/atom
&SYSTEM
  ibrav = 0, nat = 5, ntyp = 4
/
ATOMIC_SPECIES
Na 22.99 Na.upf
Tc 98.00 Tc.upf
Ni 58.69 Ni.upf
P 30.97 P.upf
ATOMIC_POSITIONS angstrom
Na 0.000 0.000 0.000
Tc 0.000 1.924 2.904
Ni 1.924 0.000 2.904
P 0.000 0.000 4.171
P 0.000 0.000 7.445
CELL_PARAMETERS angstrom
-1.924 1.924 5.808
1.924 -1.924 5.808
1.924 1.924 -5.808